[1]
Here is crystalline BaCaReN3 at its relaxed geometry from the Alexandria database. Energies are from GGA-PBE.

* space group: No. 194
* raw formation energy: -0.7686 eV/atom

Cell: 6.2966 6.2966 6.8564 Å, 90.00 90.00 120.00°
Positions (direct):
N (0.6648, 0.8324, 0.2500)
Ca (0.0000, 0.0000, 0.0000)
N (0.8324, 0.6648, 0.7500)
Ba (0.3333, 0.6667, 0.7500)
N (0.8324, 0.1676, 0.7500)
N (0.1676, 0.3352, 0.2500)
Ba (0.6667, 0.3333, 0.2500)
Re (0.3333, 0.6667, 0.2500)
N (0.1676, 0.8324, 0.2500)
N (0.3352, 0.1676, 0.7500)
Ca (0.0000, 0.0000, 0.5000)
Re (0.6667, 0.3333, 0.7500)

---

[2]
Here is crystalline BaCaRe2N at its relaxed geometry from the Alexandria database. Energies are from GGA-PBE.

* space group: No. 123
* raw formation energy: 3.2539 eV/atom

Cell: 4.6639 6.4667 4.6639 Å, 90.00 90.00 90.00°
Positions (direct):
Ba (0.0000, 0.5000, 0.0000)
Ca (0.0000, 0.0000, 0.0000)
Re (0.0000, 0.0000, 0.5000)
N (0.5000, 0.5000, 0.5000)
Re (0.5000, 0.0000, 0.0000)

---

[3]
Here is crystalline Ba2CaRe2N6 at its relaxed geometry from the Alexandria database. Energies are from GGA-PBE.

* space group: No. 12
* raw formation energy: -0.6681 eV/atom

Cell: 6.2240 6.2687 7.3115 Å, 117.38 90.00 119.76°
Positions (direct):
N (0.2292, 0.4584, 0.3623)
N (0.1876, 0.8974, 0.2202)
N (0.8124, 0.1026, 0.7798)
Re (0.9651, 0.9301, 0.7962)
N (0.2902, 0.1026, 0.7798)
N (0.7708, 0.5416, 0.6377)
N (0.7098, 0.8974, 0.2202)
Ca (0.5000, 0.0000, 0.5000)
Re (0.0349, 0.0699, 0.2038)
Ba (0.7138, 0.4276, 0.1993)
Ba (0.2862, 0.5724, 0.8007)

---

[4]
Here is crystalline BaCa2RhN at its relaxed geometry from the Alexandria database. Energies are from GGA-PBE.

* space group: No. 123
* raw formation energy: 1.2827 eV/atom

Cell: 6.1341 4.2634 6.1341 Å, 90.00 90.00 90.00°
Positions (direct):
Ca (0.5000, 0.0000, 0.0000)
N (0.0000, 0.5000, 0.0000)
Rh (0.5000, 0.5000, 0.5000)
Ba (0.0000, 0.0000, 0.0000)
Ca (0.0000, 0.0000, 0.5000)

---

[5]
Here is crystalline BaCaSN2 at its relaxed geometry from the Alexandria database. Energies are from GGA-PBE.

* space group: No. 123
* ΔE to the lowest computed polymorph: 0.0000 eV per atom
* raw formation energy: 0.1155 eV/atom

Cell: 4.6988 4.6988 5.4068 Å, 90.00 90.00 90.00°
Positions (direct):
Ba (0.5000, 0.5000, 0.5000)
N (0.0000, 0.5000, 0.0000)
S (0.0000, 0.0000, 0.5000)
N (0.5000, 0.0000, 0.0000)
Ca (0.0000, 0.0000, 0.0000)

---

[6]
Here is crystalline BaCaSN2 at its relaxed geometry from the Alexandria database. Energies are from GGA-PBE.

* space group: No. 123
* ΔE to the lowest computed polymorph: 0.5966 eV per atom
* raw formation energy: 0.7121 eV/atom

Cell: 4.5786 4.5786 6.2501 Å, 90.00 90.00 90.00°
Positions (direct):
S (0.0000, 0.0000, 0.5000)
Ba (0.0000, 0.0000, 0.0000)
N (0.0000, 0.5000, 0.0000)
Ca (0.5000, 0.5000, 0.5000)
N (0.5000, 0.0000, 0.0000)

---

[7]
Here is crystalline Ba2CaSbN at its relaxed geometry from the Alexandria database. Energies are from GGA-PBE.

* space group: No. 123
* raw formation energy: -0.8183 eV/atom

Cell: 5.5857 5.5857 4.9112 Å, 90.00 90.00 90.00°
Positions (direct):
Ba (0.5000, 0.0000, 0.0000)
Sb (0.5000, 0.5000, 0.5000)
N (0.0000, 0.0000, 0.0000)
Ba (0.0000, 0.5000, 0.0000)
Ca (0.0000, 0.0000, 0.5000)

---

[8]
Here is crystalline Ba2CaScN at its relaxed geometry from the Alexandria database. Energies are from GGA-PBE.

* space group: No. 123
* raw formation energy: -0.2367 eV/atom

Cell: 6.2510 4.2927 6.2510 Å, 90.00 90.00 90.00°
Positions (direct):
Ba (0.0000, 0.0000, 0.5000)
Ba (0.5000, 0.0000, 0.0000)
Ca (0.5000, 0.5000, 0.5000)
Sc (0.0000, 0.5000, 0.0000)
N (0.0000, 0.0000, 0.0000)

---

Number 1: volume 19.6 A^3/atom, M_tot 0.00 μB per formula unit. Number 2: volume 28.1 A^3/atom, M_tot 2.16 μB per formula unit. Number 3: volume 19.1 A^3/atom, M_tot 0.00 μB per formula unit. Number 4: volume 32.1 A^3/atom, M_tot 0.00 μB per formula unit. Number 5: volume 23.9 A^3/atom, M_tot 4.00 μB per formula unit. Number 6: volume 26.2 A^3/atom, M_tot 2.01 μB per formula unit. Number 7: volume 30.6 A^3/atom, M_tot 0.00 μB per formula unit. Number 8: volume 33.5 A^3/atom, M_tot 0.00 μB per formula unit.